5
Lattice="4.6566 0.0000 0.0000 0.0000 4.6566 0.0000 0.0000 0.0000 4.6566" Properties=species:S:1:pos:R:3 comment="NaCuPt3 (PBE, optimized geometry)" mass_density_g_cm3=11.05 formation_energy_mev_per_atom=622 sg="Pm-3m (221)" pbc="T T T"
Na 0.0000 0.0000 0.0000
Cu 2.3283 2.3283 2.3283
Pt 0.0000 2.3283 2.3283
Pt 2.3283 0.0000 2.3283
Pt 2.3283 2.3283 0.0000

---

10
Lattice="6.3995 0.0000 0.0000 0.0000 6.3995 0.0000 0.0000 0.0000 4.7095" Properties=species:S:1:pos:R:3 comment="Na2CuPt2 (PBE, optimized geometry)" mass_density_g_cm3=8.60 formation_energy_mev_per_atom=-67 sg="P4/mbm (127)" pbc="T T T"
Na 1.0879 2.1118 0.0000
Na 2.1118 5.3116 0.0000
Na 4.2877 1.0879 0.0000
Na 5.3116 4.2877 0.0000
Cu 0.0000 0.0000 2.3548
Cu 3.1998 3.1998 2.3548
Pt 0.9011 4.1008 2.3548
Pt 2.2987 0.9011 2.3548
Pt 4.1008 5.4985 2.3548
Pt 5.4985 2.2987 2.3548

---

5
Lattice="4.5997 0.0000 0.0000 0.0000 4.5997 0.0000 0.0000 0.0000 4.5545" Properties=species:S:1:pos:R:3 comment="NaCuRuPt2 (PBE, optimized geometry)" mass_density_g_cm3=9.96 formation_energy_mev_per_atom=1873 sg="P4/mmm (123)" pbc="T T T"
Na 0.0000 0.0000 0.0000
Cu 2.2999 2.2999 2.2773
Ru 0.0000 0.0000 2.2773
Pt 0.0000 2.2999 0.0000
Pt 2.2999 0.0000 0.0000

---

5
Lattice="5.9197 0.0000 0.0000 0.0000 5.9197 0.0000 0.0000 0.0000 4.8887" Properties=species:S:1:pos:R:3 comment="Na2CuSbPt (PBE, optimized geometry)" mass_density_g_cm3=4.13 sg="P4/mmm (123)" formation_energy_uncorrected_ev_per_fu=2.4 pbc="T T T"
Na 0.0000 2.9598 0.0000
Na 2.9598 0.0000 0.0000
Cu 0.0000 0.0000 2.4444
Sb 2.9598 2.9598 0.0000
Pt 2.9598 2.9598 2.4444

---

10
Lattice="4.4675 0.0000 0.0000 0.0000 4.4675 0.0000 0.0000 0.0000 10.8567" Properties=species:S:1:pos:R:3 comment="Na2CuSb3Pt4 (PBE, optimized geometry)" mass_density_g_cm3=9.62 sg="P-4m2 (115)" formation_energy_uncorrected_ev_per_fu=-3.8 pbc="T T T"
Na 0.0000 2.2338 2.6004
Na 2.2338 0.0000 8.2563
Cu 2.2338 2.2338 0.0000
Sb 0.0000 0.0000 0.0000
Sb 0.0000 2.2338 6.9004
Sb 2.2338 0.0000 3.9562
Pt 0.0000 0.0000 5.4283
Pt 0.0000 2.2338 9.4876
Pt 2.2338 0.0000 1.3691
Pt 2.2338 2.2338 5.4283

---

5
Lattice="4.7233 0.0000 0.0000 0.0000 4.7233 0.0000 0.0000 0.0000 4.5024" Properties=species:S:1:pos:R:3 comment="NaCuSbPt2 (PBE, optimized geometry)" mass_density_g_cm3=9.89 sg="P4/mmm (123)" formation_energy_uncorrected_ev_per_fu=1.9 pbc="T T T"
Na 0.0000 0.0000 0.0000
Cu 0.0000 0.0000 2.2512
Sb 2.3617 2.3617 0.0000
Pt 0.0000 2.3617 2.2512
Pt 2.3617 0.0000 2.2512

---

5
Lattice="4.3221 0.0000 0.0000 0.0000 4.3221 0.0000 0.0000 0.0000 5.0874" Properties=species:S:1:pos:R:3 comment="NaScCu2Pt (PBE, optimized geometry)" mass_density_g_cm3=6.82 formation_energy_mev_per_atom=1025 sg="P4/mmm (123)" pbc="T T T"
Na 0.0000 0.0000 0.0000
Sc 0.0000 0.0000 2.5437
Cu 0.0000 2.1611 0.0000
Cu 2.1611 0.0000 0.0000
Pt 2.1611 2.1611 2.5437

---

5
Lattice="-2.0593 2.0593 4.9354 2.0593 -2.0593 4.9354 2.0593 2.0593 -4.9354" Properties=species:S:1:pos:R:3 comment="NaCuSi2Pt (PBE, optimized geometry)" mass_density_g_cm3=6.70 sg="I-4m2 (119)" formation_energy_uncorrected_ev_per_fu=-1.7 pbc="T T T"
Na 0.0000 0.0000 0.0000
Cu 2.0593 0.0000 2.4677
Si 0.0000 0.0000 3.7471
Si 0.0000 0.0000 6.1238
Pt 0.0000 2.0593 2.4677

---

20
Lattice="9.5447 0.0000 0.0000 0.0000 9.5447 0.0000 0.0000 0.0000 3.4843" Properties=species:S:1:pos:R:3 comment="Na2CuSi2Pt5 (PBE, optimized geometry)" mass_density_g_cm3=11.94 sg="P4/mbm (127)" formation_energy_uncorrected_ev_per_fu=-4.9 pbc="T T T"
Na 1.6326 3.1398 0.0000
Na 3.1398 7.9121 0.0000
Na 6.4049 1.6326 0.0000
Na 7.9121 6.4049 0.0000
Cu 0.0000 0.0000 0.0000
Cu 4.7723 4.7723 0.0000
Si 1.2542 6.0265 0.0000
Si 3.5182 1.2542 0.0000
Si 6.0265 8.2905 0.0000
Si 8.2905 3.5182 0.0000
Pt 0.0000 4.7723 1.7421
Pt 0.6603 7.6056 1.7421
Pt 1.9391 0.6603 1.7421
Pt 2.8333 5.4326 1.7421
Pt 4.1120 2.8333 1.7421
Pt 4.7723 0.0000 1.7421
Pt 5.4326 6.7114 1.7421
Pt 6.7114 4.1120 1.7421
Pt 7.6056 8.8843 1.7421
Pt 8.8843 1.9391 1.7421

---

10
Lattice="4.1368 0.0000 0.0000 0.0000 4.1368 0.0000 0.0000 0.0000 10.0253" Properties=species:S:1:pos:R:3 comment="Na2CuSi4Pt3 (PBE, optimized geometry)" mass_density_g_cm3=7.81 sg="P-4m2 (115)" formation_energy_uncorrected_ev_per_fu=-4.9 pbc="T T T"
Na 0.0000 2.0684 2.4598
Na 2.0684 0.0000 7.5655
Cu 2.0684 2.0684 0.0000
Si 0.0000 0.0000 5.0126
Si 0.0000 2.0684 8.7448
Si 2.0684 0.0000 1.2805
Si 2.0684 2.0684 5.0126
Pt 0.0000 0.0000 0.0000
Pt 0.0000 2.0684 6.3193
Pt 2.0684 0.0000 3.7060

---

4
Lattice="0.0000 3.2607 3.2607 3.2607 0.0000 3.2607 3.2607 3.2607 0.0000" Properties=species:S:1:pos:R:3 comment="NaCuSnPt (PBE, optimized geometry)" mass_density_g_cm3=9.59 formation_energy_mev_per_atom=-161 sg="F-43m (216)" pbc="T T T"
Na 0.0000 0.0000 0.0000
Cu 1.6303 1.6303 1.6303
Sn 4.8910 4.8910 4.8910
Pt 3.2607 3.2607 3.2607

---

10
Lattice="4.1205 0.0000 0.0000 0.0000 4.1205 0.0000 0.0000 0.0000 12.2107" Properties=species:S:1:pos:R:3 comment="Na2CuSn3Pt4 (PBE, optimized geometry)" mass_density_g_cm3=9.98 formation_energy_mev_per_atom=-402 sg="P-4m2 (115)" pbc="T T T"
Na 0.0000 2.0603 2.7380
Na 2.0603 0.0000 9.4726
Cu 2.0603 2.0603 0.0000
Sn 0.0000 0.0000 0.0000
Sn 0.0000 2.0603 7.8548
Sn 2.0603 0.0000 4.3558
Pt 0.0000 0.0000 6.1053
Pt 0.0000 2.0603 10.4973
Pt 2.0603 0.0000 1.7133
Pt 2.0603 2.0603 6.1053

---

10
Lattice="4.6421 0.0000 0.0000 0.0000 4.6421 0.0000 0.0000 0.0000 10.7005" Properties=species:S:1:pos:R:3 comment="Na2CuSn4Pt3 (PBE, optimized geometry)" mass_density_g_cm3=8.42 formation_energy_mev_per_atom=-362 sg="P-4m2 (115)" pbc="T T T"
Na 0.0000 2.3211 2.5126
Na 2.3211 0.0000 8.1879
Cu 2.3211 2.3211 0.0000
Sn 0.0000 0.0000 5.3503
Sn 0.0000 2.3211 9.3858
Sn 2.3211 0.0000 1.3147
Sn 2.3211 2.3211 5.3503
Pt 0.0000 0.0000 0.0000
Pt 0.0000 2.3211 6.7454
Pt 2.3211 0.0000 3.9551

---

5
Lattice="5.8803 0.0000 0.0000 0.0000 5.8803 0.0000 0.0000 0.0000 4.9187" Properties=species:S:1:pos:R:3 comment="NaSr2CuPt (PBE, optimized geometry)" mass_density_g_cm3=4.46 formation_energy_mev_per_atom=-204 sg="P4/mmm (123)" pbc="T T T"
Na 0.0000 0.0000 0.0000
Sr 0.0000 2.9401 2.4593
Sr 2.9401 0.0000 2.4593
Cu 2.9401 2.9401 0.0000
Pt 2.9401 2.9401 2.4593

---

5
Lattice="5.0352 0.0000 0.0000 0.0000 5.0352 0.0000 0.0000 0.0000 4.7979" Properties=species:S:1:pos:R:3 comment="Na2TaCuPt (PBE, optimized geometry)" mass_density_g_cm3=6.63 formation_energy_mev_per_atom=1481 sg="P4/mmm (123)" pbc="T T T"
Na 0.0000 2.5176 0.0000
Na 2.5176 0.0000 0.0000
Ta 0.0000 0.0000 2.3990
Cu 2.5176 2.5176 2.3990
Pt 2.5176 2.5176 0.0000

---

4
Lattice="0.0000 3.3089 3.3089 3.3089 0.0000 3.3089 3.3089 3.3089 0.0000" Properties=species:S:1:pos:R:3 comment="NaTlCuPt (PBE, optimized geometry)" mass_density_g_cm3=11.14 formation_energy_mev_per_atom=2 sg="F-43m (216)" pbc="T T T"
Na 0.0000 0.0000 0.0000
Tl 4.9634 4.9634 4.9634
Cu 1.6545 1.6545 1.6545
Pt 3.3089 3.3089 3.3089

---

5
Lattice="5.1080 0.0000 0.0000 0.0000 5.1080 0.0000 0.0000 0.0000 4.9060" Properties=species:S:1:pos:R:3 comment="NaZr2CuPt (PBE, optimized geometry)" mass_density_g_cm3=6.02 formation_energy_mev_per_atom=352 sg="P4/mmm (123)" pbc="T T T"
Na 0.0000 0.0000 0.0000
Zr 0.0000 2.5540 2.4530
Zr 2.5540 0.0000 2.4530
Cu 2.5540 2.5540 0.0000
Pt 2.5540 2.5540 2.4530

---

6
Lattice="0.0000 3.6752 3.6752 3.6752 0.0000 3.6752 3.6752 3.6752 0.0000" Properties=species:S:1:pos:R:3 comment="NaPuCu4 (PBE, optimized geometry)" mass_density_g_cm3=8.72 formation_energy_mev_per_atom=128 sg="F-43m (216)" pbc="T T T"
Na 0.0000 0.0000 0.0000
Pu 1.8376 1.8376 1.8376
Cu 4.5995 2.7510 2.7510
Cu 2.7510 4.5995 2.7510
Cu 2.7510 2.7510 4.5995
Cu 4.5995 4.5995 4.5995

---

4
Lattice="3.1861 0.0000 0.0000 0.0000 3.1861 0.0000 0.0000 0.0000 7.9541" Properties=species:S:1:pos:R:3 comment="NaPuCu2 (PBE, optimized geometry)" mass_density_g_cm3=8.10 formation_energy_mev_per_atom=226 sg="P4/mmm (123)" pbc="T T T"
Na 0.0000 0.0000 0.0000
Pu 0.0000 0.0000 3.9770
Cu 1.5931 1.5931 2.0469
Cu 1.5931 1.5931 5.9072

---

8
Lattice="-3.2474 3.2474 3.6285 3.2474 -3.2474 3.6285 3.2474 3.2474 -3.6285" Properties=species:S:1:pos:R:3 comment="NaPuCu2S4 (PBE, optimized geometry)" mass_density_g_cm3=5.67 sg="I-42m (121)" formation_energy_uncorrected_ev_per_fu=-5.7 pbc="T T T"
Na 0.0000 0.0000 0.0000
Pu 0.0000 0.0000 3.6285
Cu 3.2474 0.0000 1.8143
Cu 0.0000 3.2474 1.8143
S 1.5120 -1.5120 1.7502
S -1.5120 1.5120 1.7502
S 1.7354 1.7354 1.8783
S 1.5120 1.5120 5.5068

---

11
Lattice="3.2526 -6.0301 0.0000 3.2526 6.0301 0.0000 -2.0584 0.0000 6.7256" Properties=species:S:1:pos:R:3 comment="Na2Pu2CuS6 (PBE, optimized geometry)" mass_density_g_cm3=4.97 sg="C2/m (12)" formation_energy_uncorrected_ev_per_fu=-12.1 pbc="T T T"
Na 3.2526 4.1342 0.0000
Na 3.2526 -4.1342 0.0000
Pu 2.2234 1.9654 3.3628
Pu 2.2234 -1.9654 3.3628
Cu -1.0292 0.0000 3.3628
S 0.0831 2.1652 4.8449
S 0.9046 0.0000 2.0568
S 0.0831 -2.1652 4.8449
S 4.3638 2.1652 1.8807
S 3.5423 0.0000 4.6687
S 4.3638 -2.1652 1.8807

---

12
Lattice="3.3626 -5.8254 0.0000 3.3626 5.8254 0.0000 -2.2302 0.0000 6.6313" Properties=species:S:1:pos:R:3 comment="Na3Pu2CuS6 (PBE, optimized geometry)" mass_density_g_cm3=5.20 sg="C2/m (12)" formation_energy_uncorrected_ev_per_fu=-14.3 pbc="T T T"
Na 0.0000 0.0000 0.0000
Na 3.3626 1.9126 0.0000
Na 3.3626 -1.9126 0.0000
Pu 2.2475 3.8812 3.3156
Pu 2.2475 -3.8812 3.3156
Cu 2.2475 0.0000 3.3156
S 1.1363 1.9217 1.8502
S 0.0336 0.0000 4.7737
S 1.1363 -1.9217 1.8502
S 3.3587 1.9217 4.7811
S 4.4614 0.0000 1.8576
S 3.3587 -1.9217 4.7811

---

12
Lattice="4.6402 0.0000 0.0000 0.0000 8.7726 0.0000 0.0000 0.0000 7.5303" Properties=species:S:1:pos:R:3 comment="Na2PuCuSb2 (PBE, optimized geometry)" mass_density_g_cm3=6.47 sg="Pmc2_1 (26)" formation_energy_uncorrected_ev_per_fu=-2.4 pbc="T T T"
Na 0.0000 0.7590 0.0000
Na 0.0000 8.0136 3.7652
Na 2.3201 1.2896 2.4535
Na 2.3201 7.4830 6.2187
Pu 2.3201 4.1284 7.5234
Pu 2.3201 4.6442 3.7583
Cu 0.0000 2.8630 4.7965
Cu 0.0000 5.9096 1.0313
Sb 0.0000 3.3357 2.0311
Sb 0.0000 5.4369 5.7963
Sb 2.3201 1.7090 5.5016
Sb 2.3201 7.0637 1.7364

---

15
Lattice="7.0501 -4.0790 0.0000 7.0501 4.0790 0.0000 -4.6963 0.0000 7.0101" Properties=species:S:1:pos:R:3 comment="Na3Pu3CuSe8 (PBE, optimized geometry)" mass_density_g_cm3=6.16 sg="C2/m (12)" formation_energy_uncorrected_ev_per_fu=-16.4 pbc="T T T"
Na 0.0000 0.0000 0.0000
Na 3.5250 2.0395 0.0000
Na 3.5250 -2.0395 0.0000
Pu 1.1769 2.0395 3.5051
Pu 1.1769 -2.0395 3.5051
Pu 4.7019 0.0000 3.5051
Cu -2.3481 0.0000 3.5051
Se -0.1010 0.0000 4.9988
Se 3.5659 2.1033 5.0151
Se 5.8379 2.1033 1.9950
Se 2.3499 0.0000 1.8752
Se 7.0539 0.0000 5.1350
Se 3.5659 -2.1033 5.0151
Se 5.8379 -2.1033 1.9950
Se 9.5048 0.0000 2.0113

---

Number 1: volume 100.98 Å³ per cell, Fermi-level density of states 3.88 states/eV/f.u., total DFT energy (no corrections) -4.0855 eV per atom. Number 2: volume 192.87 Å³ per cell, Fermi-level density of states 5.84 states/eV/f.u., total DFT energy (no corrections) -3.8304 eV per atom. Number 3: volume 96.36 Å³ per cell, Fermi-level density of states 5.60 states/eV/f.u., total DFT energy (no corrections) -3.4819 eV per atom. Number 4: volume 171.31 Å³ per cell, Fermi-level density of states 4.82 states/eV/f.u., total DFT energy (no corrections) -2.9015 eV per atom. Number 5: volume 216.68 Å³ per cell, Fermi-level density of states 3.58 states/eV/f.u., total DFT energy (no corrections) -4.7034 eV per atom. Number 6: volume 100.45 Å³ per cell, Fermi-level density of states 2.87 states/eV/f.u., total DFT energy (no corrections) -3.9446 eV per atom. Number 7: volume 95.04 Å³ per cell, Fermi-level density of states 3.24 states/eV/f.u., total DFT energy (no corrections) -3.3517 eV per atom. Number 8: volume 83.72 Å³ per cell, Fermi-level density of states 1.71 states/eV/f.u., total DFT energy (no corrections) -4.8013 eV per atom. Number 9: volume 317.42 Å³ per cell, Fermi-level density of states 3.10 states/eV/f.u., total DFT energy (no corrections) -5.2732 eV per atom. Number 10: volume 171.57 Å³ per cell, Fermi-level density of states 4.38 states/eV/f.u., total DFT energy (no corrections) -5.1402 eV per atom. Number 11: volume 69.34 Å³ per cell, Fermi-level density of states 1.19 states/eV/f.u., total DFT energy (no corrections) -4.0255 eV per atom. Number 12: volume 207.32 Å³ per cell, Fermi-level density of states 2.67 states/eV/f.u., total DFT energy (no corrections) -4.6924 eV per atom. Number 13: volume 230.59 Å³ per cell, Fermi-level density of states 6.39 states/eV/f.u., total DFT energy (no corrections) -4.4492 eV per atom. Number 14: volume 170.08 Å³ per cell, Fermi-level density of states 2.47 states/eV/f.u., total DFT energy (no corrections) -3.1678 eV per atom. Number 15: volume 121.64 Å³ per cell, Fermi-level density of states 7.76 states/eV/f.u., total DFT energy (no corrections) -3.4445 eV per atom. Number 16: volume 72.46 Å³ per cell, Fermi-level density of states 1.54 states/eV/f.u., total DFT energy (no corrections) -3.4535 eV per atom. Number 17: volume 128.01 Å³ per cell, Fermi-level density of states 5.79 states/eV/f.u., total DFT energy (no corrections) -5.3581 eV per atom. Number 18: volume 99.29 Å³ per cell, Fermi-level density of states 17.25 states/eV/f.u., total DFT energy (no corrections) -5.2117 eV per atom. Number 19: volume 80.75 Å³ per cell, Fermi-level density of states 8.27 states/eV/f.u., total DFT energy (no corrections) -5.7351 eV per atom. Number 20: volume 153.06 Å³ per cell, Fermi-level density of states 11.01 states/eV/f.u., total DFT energy (no corrections) -5.7544 eV per atom. Number 21: volume 263.83 Å³ per cell, Fermi-level density of states 13.54 states/eV/f.u., total DFT energy (no corrections) -6.5729 eV per atom. Number 22: volume 259.79 Å³ per cell, Fermi-level density of states 11.79 states/eV/f.u., total DFT energy (no corrections) -6.3149 eV per atom. Number 23: volume 306.53 Å³ per cell, Fermi-level density of states 12.83 states/eV/f.u., total DFT energy (no corrections) -5.2841 eV per atom. Number 24: volume 403.18 Å³ per cell, Fermi-level density of states 29.41 states/eV/f.u., total DFT energy (no corrections) -6.3524 eV per atom.